Entry from the Alexandria database: a relaxed structure of ZnBiPb (PBE).

## Properties
Its relative energy among the computed polymorphs is 0.03 eV per formula unit. For the total DFT energy (no corrections), the calculation gives -2.86 eV/atom. The calculation puts the total magnetization at 0.000 μB/atom. As for the calculated formation energy: 92 meV/atom.

a b c (Å): 3.377 3.473 13.972
angles (deg): 90.01 96.35 90.00
Space group P1 (No. 1)
Inequivalent atoms, fractional coordinates:
Zn  0.000  0.000  0.000 [1 per cell]
Zn  0.466  0.500  0.912 [1 per cell]
Bi  0.188  0.001  0.355 [1 per cell]
Bi  0.272  0.502  0.556 [1 per cell]
Pb  0.560  0.501  0.147 [1 per cell]
Pb  0.903  0.001  0.765 [1 per cell]